Entry from Alexandria: an optimized crystal structure of NaPd3 (GGA-PBE).

Computed properties:
**Energy of formation from the pure elements**: 0.012 eV per atom
**Fermi-level density of states**: 12.24 states/eV per cell

Unit cell a=4.015 b=4.015 c=8.068 alpha=90.00 beta=90.00 gamma=90.00
Space group I4/mmm (No. 139)
Unique sites:
Na1 0.000 0.000 0.000 x2
Pd1 0.000 0.000 0.500 x2
Pd2 0.000 0.500 0.250 x4